[1]
The following is a DFT calculation (PBE) of a relaxed structure of NaCu6Si2.

Computed properties:
space group	P4/mmm (123)
energy relative to the elements, uncorrected	-8	meV per atom
crystal system	tetragonal

a = 4.026 Å, b = 4.026 Å, c = 7.907 Å
α = 90.00°, β = 90.00°, γ = 90.00°
Fractional coordinates of all 9 atoms:
Na  0.000  0.000  0.000
Cu  0.000  0.000  0.500
Cu  0.000  0.500  0.307
Cu  0.000  0.500  0.693
Cu  0.500  0.000  0.307
Cu  0.500  0.000  0.693
Cu  0.500  0.500  0.500
Si  0.500  0.500  0.150
Si  0.500  0.500  0.850

=====

[2]
The following is a DFT calculation (PBE) of a relaxed structure of Ga6CoIr.

Computed properties:
space group	C2/m (12)
E_form	-0.05	eV per atom
crystal system	monoclinic

a = 5.168 Å, b = 5.168 Å, c = 6.008 Å
α = 96.63°, β = 96.63°, γ = 105.82°
Fractional coordinates of all 8 atoms:
Ga  0.048  0.408  0.248
Ga  0.245  0.245  0.763
Ga  0.408  0.048  0.248
Ga  0.592  0.952  0.752
Ga  0.755  0.755  0.237
Ga  0.952  0.592  0.752
Co  0.000  0.000  0.000
Ir  0.500  0.500  0.500

=====

[3]
The following is a DFT calculation (PBE) of a relaxed structure of KNa2CdAu.

Computed properties:
energy above the lowest structure with this stoichiometry	135.5	meV per atom
space group	P4/mmm (123)
E_form	-0.02	eV per atom
crystal system	tetragonal

a = 5.655 Å, b = 5.655 Å, c = 6.255 Å
α = 90.00°, β = 90.00°, γ = 90.00°
Fractional coordinates of all 5 atoms:
K  0.000  0.000  0.000
Na  0.000  0.500  0.500
Na  0.500  0.000  0.500
Cd  0.500  0.500  0.000
Au  0.000  0.000  0.500

=====

[4]
The following is a DFT calculation (PBE) of a relaxed structure of TlTc2H2.

Computed properties:
energy above the lowest structure with this stoichiometry	451.6	meV per atom
space group	P4/mbm (127)
crystal system	tetragonal

a = 6.954 Å, b = 6.954 Å, c = 2.870 Å
α = 90.00°, β = 90.00°, γ = 90.00°
Fractional coordinates of all 10 atoms:
Tl  0.000  0.000  0.000
Tl  0.500  0.500  0.000
Tc  0.114  0.386  0.000
Tc  0.386  0.886  0.000
Tc  0.614  0.114  0.000
Tc  0.886  0.614  0.000
H  0.096  0.596  0.500
H  0.404  0.096  0.500
H  0.596  0.904  0.500
H  0.904  0.404  0.500

=====

[5]
The following is a DFT calculation (PBE) of a relaxed structure of GaCu14Pd.

Computed properties:
space group	Amm2 (38)
E_form	-0.06	eV per atom
crystal system	orthorhombic

a = 8.488 Å, b = 5.206 Å, c = 5.206 Å
α = 59.35°, β = 90.00°, γ = 90.00°
Fractional coordinates of all 16 atoms:
Ga  0.000  0.000  0.000
Cu  0.000  0.001  0.501
Cu  0.000  0.501  0.001
Cu  0.251  0.166  0.166
Cu  0.257  0.163  0.665
Cu  0.257  0.665  0.163
Cu  0.257  0.667  0.667
Cu  0.500  0.330  0.330
Cu  0.500  0.330  0.833
Cu  0.500  0.831  0.831
Cu  0.500  0.833  0.330
Cu  0.743  0.163  0.665
Cu  0.743  0.665  0.163
Cu  0.743  0.667  0.667
Cu  0.749  0.166  0.166
Pd  0.000  0.502  0.502

=====

[6]
The following is a DFT calculation (PBE) of a relaxed structure of Y4CoIr.

Computed properties:
energy above the lowest structure with this stoichiometry	0.0	meV per atom
space group	C2/c (15)
E_form	-0.41	eV per atom
crystal system	monoclinic

a = 7.910 Å, b = 7.910 Å, c = 6.227 Å
α = 108.64°, β = 108.64°, γ = 111.94°
Fractional coordinates of all 12 atoms:
Y  0.050  0.689  0.899
Y  0.237  0.357  0.726
Y  0.311  0.950  0.601
Y  0.357  0.237  0.226
Y  0.643  0.763  0.774
Y  0.689  0.050  0.399
Y  0.763  0.643  0.274
Y  0.950  0.311  0.101
Co  0.001  0.999  0.250
Co  0.999  0.001  0.750
Ir  0.364  0.636  0.250
Ir  0.636  0.364  0.750

=====

[7]
The following is a DFT calculation (PBE) of a relaxed structure of BMo2Os.

Computed properties:
space group	Imm2 (44)
E_form	0.06	eV per atom
crystal system	orthorhombic

a = 5.071 Å, b = 5.071 Å, c = 5.071 Å
α = 148.06°, β = 129.67°, γ = 60.86°
Fractional coordinates of all 4 atoms:
B  0.000  0.000  0.000
Mo  0.483  0.483  0.000
Mo  0.786  0.286  0.500
Os  0.191  0.691  0.500

=====

[8]
The following is a DFT calculation (PBE) of a relaxed structure of Rb2NbCuS4.

Computed properties:
energy above the lowest structure with this stoichiometry	0.0	meV per atom
space group	Fddd (70)
energy relative to the elements, uncorrected	-1077	meV per atom
crystal system	orthorhombic

a = 14.013 Å, b = 12.503 Å, c = 7.467 Å
α = 85.17°, β = 62.76°, γ = 32.07°
Fractional coordinates of all 16 atoms:
Rb  0.052  0.052  0.698
Rb  0.302  0.302  0.948
Rb  0.698  0.698  0.052
Rb  0.948  0.948  0.302
Nb  0.125  0.125  0.125
Nb  0.875  0.875  0.875
Cu  0.375  0.375  0.375
Cu  0.625  0.625  0.625
S  0.030  0.327  0.411
S  0.268  0.589  0.673
S  0.327  0.030  0.732
S  0.411  0.732  0.030
S  0.589  0.268  0.970
S  0.673  0.970  0.268
S  0.732  0.411  0.327
S  0.970  0.673  0.589

=====

[9]
The following is a DFT calculation (PBE) of a relaxed structure of BaLaBr2.

Computed properties:
energy above the lowest structure with this stoichiometry	811.9	meV per atom
space group	F-43m (216)
energy relative to the elements, uncorrected	-557	meV per atom
crystal system	cubic

a = 5.811 Å, b = 5.811 Å, c = 5.811 Å
α = 60.00°, β = 60.00°, γ = 60.00°
Fractional coordinates of all 4 atoms:
Ba  0.000  0.000  0.000
La  0.250  0.250  0.250
Br  0.500  0.500  0.500
Br  0.750  0.750  0.750

=====

[10]
The following is a DFT calculation (PBE) of a relaxed structure of SnHgCl2.

Computed properties:
energy above the lowest structure with this stoichiometry	84.8	meV per atom
space group	I-42d (122)
energy relative to the elements, uncorrected	-613	meV per atom
crystal system	tetragonal

a = 8.364 Å, b = 8.364 Å, c = 8.364 Å
α = 120.44°, β = 120.44°, γ = 89.25°
Fractional coordinates of all 8 atoms:
Sn  0.000  0.000  0.000
Sn  0.750  0.250  0.500
Hg  0.250  0.750  0.500
Hg  0.500  0.500  0.000
Cl  0.375  0.237  0.362
Cl  0.763  0.125  0.138
Cl  0.875  0.013  0.638
Cl  0.987  0.625  0.862

=====

[11]
The following is a DFT calculation (PBE) of a relaxed structure of CsCaIn2I8.

Computed properties:
space group	R-3 (148)
energy relative to the elements, uncorrected	-882	meV per atom
crystal system	trigonal

a = 11.972 Å, b = 11.972 Å, c = 11.972 Å
α = 37.90°, β = 37.90°, γ = 37.90°
Fractional coordinates of all 12 atoms:
Cs  0.000  0.000  0.000
Ca  0.500  0.500  0.500
In  0.246  0.246  0.246
In  0.754  0.754  0.754
I  0.132  0.413  0.788
I  0.212  0.868  0.587
I  0.330  0.330  0.330
I  0.413  0.788  0.132
I  0.587  0.212  0.868
I  0.670  0.670  0.670
I  0.788  0.132  0.413
I  0.868  0.587  0.212

=====

[12]
The following is a DFT calculation (PBE) of a relaxed structure of Tl2HgSb.

Computed properties:
energy above the lowest structure with this stoichiometry	0.0	meV per atom
space group	Fm-3m (225)
energy relative to the elements, uncorrected	-10	meV per atom
crystal system	cubic

a = 5.529 Å, b = 5.529 Å, c = 5.529 Å
α = 60.00°, β = 60.00°, γ = 60.00°
Fractional coordinates of all 4 atoms:
Tl  0.250  0.250  0.250
Tl  0.750  0.750  0.750
Hg  0.000  0.000  0.000
Sb  0.500  0.500  0.500

=====

Fermi-level density of states values, unit states/eV/cell, following the record order: 1.50, 3.75, 3.81, 7.94, 6.64, 13.47, 2.07, 0.00, 5.64, 0.00, 8.47, 1.57.